Computed, not measured: crystalline Hf2ZrAl at its relaxed geometry at the GGA-PBE level of DFT.

Unit cell a=4.3645 b=4.3450 c=4.3450 alpha=90.00 beta=90.00 gamma=90.00
Atoms (fractional coordinates):
Al 0.5000 0.0000 0.0000
Hf 0.0000 0.0000 0.5000
Hf 0.0000 0.5000 0.0000
Zr 0.5000 0.5000 0.5000

Output
Magnetization = 0.000 μB/atom
Total energy = -0.6101 Ry per atom
Crystal system = tetragonal
N(E_F) = 3.12 states/eV/f.u.
E_form = -1.01 eV/f.u.